A plane-wave DFT calculation with GGA+U was carried out for NaPmVF6 after structural relaxation.

The value obtained for the volume is 15.65 A^3/atom. The density comes out at 3.93 g/cm3. For the total energy, the calculation gives -6.049 eV per atom.

abc: 5.187 5.187 10.467
angles: 90.00 90.00 90.00
Positions (direct):
Na 0.000 0.000 0.000
Na 0.500 0.500 0.500
Pm 0.000 0.000 0.333
Pm 0.500 0.500 0.833
V 0.000 0.000 0.667
V 0.500 0.500 0.167
F 0.186 0.186 0.508
F 0.191 0.191 0.821
F 0.210 0.210 0.173
F 0.290 0.710 0.673
F 0.309 0.691 0.321
F 0.314 0.686 0.008
F 0.686 0.314 0.008
F 0.691 0.309 0.321
F 0.710 0.290 0.673
F 0.790 0.790 0.173
F 0.809 0.809 0.821
F 0.814 0.814 0.508